A plane-wave DFT calculation with PBE-GGA was carried out for crystalline VS2NCl at its relaxed geometry.

a b c (Å): 4.688 4.688 3.708
angles (deg): 90.00 90.00 90.00
Positions (direct):
V1 0.000 0.000 0.000
N1 0.000 0.000 0.500
S1 0.000 0.500 0.000
Cl1 0.500 0.500 0.500
S2 0.500 0.000 0.000

Computed properties:
Size of the total moment: 0.60 Bohr magnetons per cell
Uncorrected formation energy: 327 meV per atom
Distance to the lowest polymorph of the same formula: 0.000 eV/atom
D(E_F): 4.64 states/eV/f.u.
Space group: P4/mmm, No. 123



A plane-wave DFT calculation with PBE-GGA was carried out for crystalline Ho4ScIn3 at its relaxed geometry.

a b c (Å): 5.299 5.299 9.302
angles (deg): 73.45 73.45 60.00
Positions (direct):
Ho1 0.128 0.128 0.617
Sc1 0.000 0.000 0.000
Ho2 0.380 0.380 0.860
In1 0.741 0.741 0.777
Ho3 0.872 0.872 0.383
Ho4 0.620 0.620 0.140
In2 0.259 0.259 0.223
In3 0.500 0.500 0.500

Computed properties:
Size of the total moment: 1.49 Bohr magnetons per cell
D(E_F): 9.71 states/eV/f.u.
Space group: R-3m, No. 166
Energy of formation from the pure elements: -0.33 eV/atom



A plane-wave DFT calculation with PBE-GGA was carried out for crystalline TbY3Ho12 at its relaxed geometry.

a b c (Å): 5.002 5.002 19.991
angles (deg): 90.00 90.00 90.00
Positions (direct):
Y1 0.000 0.000 0.750
Y2 0.000 0.000 0.250
Ho1 0.500 0.500 0.500
Ho2 0.500 0.000 0.375
Ho3 0.500 0.000 0.125
Ho4 0.000 0.500 0.625
Ho5 0.500 0.000 0.625
Ho6 0.000 0.500 0.125
Ho7 0.500 0.500 0.250
Ho8 0.000 0.500 0.375
Tb1 0.000 0.000 0.000
Ho9 0.500 0.500 0.000
Ho10 0.000 0.500 0.875
Y3 0.000 0.000 0.500
Ho11 0.500 0.500 0.750
Ho12 0.500 0.000 0.875

Computed properties:
Size of the total moment: 0.00 Bohr magnetons per cell
D(E_F): 20.96 states/eV/f.u.
Space group: P4/mmm, No. 123
Energy of formation from the pure elements: 0.02 eV/atom



A plane-wave DFT calculation with PBE-GGA was carried out for crystalline ScCl2 at its relaxed geometry.

a b c (Å): 4.815 4.815 3.132
angles (deg): 90.00 90.00 120.00
Positions (direct):
Sc1 0.000 0.000 0.000
Cl1 0.333 0.667 0.500
Cl2 0.667 0.333 0.500

Computed properties:
Size of the total moment: 0.25 Bohr magnetons per cell
Uncorrected formation energy: -841 meV per atom
D(E_F): 0.98 states/eV/f.u.
Space group: P6/mmm, No. 191



A plane-wave DFT calculation with PBE-GGA was carried out for crystalline Pr6DyCd2 at its relaxed geometry.

a b c (Å): 3.856 6.823 12.092
angles (deg): 75.67 80.83 73.59
Positions (direct):
Pr1 0.689 0.211 0.410
Pr2 0.311 0.789 0.590
Cd1 0.358 0.087 0.196
Pr3 0.978 0.708 0.336
Pr4 0.684 0.510 0.123
Pr5 0.316 0.490 0.877
Cd2 0.642 0.913 0.804
Pr6 0.022 0.292 0.664
Dy1 0.000 0.000 0.000

Computed properties:
Size of the total moment: 0.00 Bohr magnetons per cell
Distance to the lowest polymorph of the same formula: 0.000 eV/atom
D(E_F): 9.51 states/eV/f.u.
Space group: C2/m, No. 12
Energy of formation from the pure elements: -0.13 eV/atom



A plane-wave DFT calculation with PBE-GGA was carried out for crystalline PrTlSe2 at its relaxed geometry.

a b c (Å): 4.344 4.344 8.279
angles (deg): 74.79 74.79 60.00
Positions (direct):
Tl1 0.496 0.496 0.511
Pr1 0.667 0.667 0.999
Se1 0.265 0.265 0.205
Se2 0.072 0.072 0.785

Computed properties:
Size of the total moment: 0.00 Bohr magnetons per cell
Uncorrected formation energy: -1351 meV per atom
Space group: R3m, No. 160



A plane-wave DFT calculation with PBE-GGA was carried out for crystalline CaPb3N at its relaxed geometry.

a b c (Å): 5.871 5.871 5.871
angles (deg): 90.00 90.00 90.00
Positions (direct):
Pb1 0.000 0.000 0.500
Pb2 0.000 0.500 0.000
Ca1 0.000 0.000 0.000
Pb3 0.500 0.000 0.000
N1 0.500 0.500 0.500

Computed properties:
Size of the total moment: 0.00 Bohr magnetons per cell
Uncorrected formation energy: 1806 meV per atom
Distance to the lowest polymorph of the same formula: 1.485 eV/atom
D(E_F): 12.56 states/eV/f.u.
Space group: Pm-3m, No. 221



A plane-wave DFT calculation with PBE-GGA was carried out for crystalline SmTm2Ag2 at its relaxed geometry.

a b c (Å): 4.854 5.213 10.905
angles (deg): 94.48 90.00 90.00
Positions (direct):
Tm1 0.750 0.750 0.495
Tm2 0.250 0.842 0.889
Tm3 0.250 0.250 0.505
Ag1 0.250 0.353 0.993
Ag2 0.750 0.228 0.366
Sm1 0.250 0.697 0.244
Ag3 0.750 0.647 0.007
Sm2 0.750 0.303 0.756
Ag4 0.250 0.772 0.634
Tm4 0.750 0.158 0.111

Computed properties:
Size of the total moment: 0.00 Bohr magnetons per cell
Distance to the lowest polymorph of the same formula: 0.116 eV/atom
D(E_F): 5.67 states/eV/f.u.
Space group: P2_1/m, No. 11
Energy of formation from the pure elements: -0.12 eV/atom



A plane-wave DFT calculation with PBE-GGA was carried out for crystalline KCrAs at its relaxed geometry.

a b c (Å): 4.304 4.304 5.353
angles (deg): 90.00 90.00 120.00
Positions (direct):
As1 0.000 0.000 0.167
K1 0.333 0.667 0.666
Cr1 0.667 0.333 0.167

Computed properties:
Size of the total moment: 3.99 Bohr magnetons per cell
Distance to the lowest polymorph of the same formula: 0.207 eV/atom
D(E_F): 1.69 states/eV/f.u.
Space group: P-6m2, No. 187
Energy of formation from the pure elements: -0.04 eV/atom



A plane-wave DFT calculation with PBE-GGA was carried out for crystalline Ba4GaSb4 at its relaxed geometry.

a b c (Å): 7.232 10.050 10.050
angles (deg): 90.00 90.00 90.00
Positions (direct):
Sb1 0.705 0.731 0.500
Ga1 0.500 0.500 0.500
Sb2 0.795 0.769 0.000
Sb3 0.205 0.000 0.231
Sb4 0.295 0.500 0.269
Ga2 0.000 0.000 0.000
Sb5 0.705 0.269 0.500
Ba1 0.800 0.500 0.763
Ba2 0.800 0.500 0.237
Sb6 0.795 0.231 0.000
Ba3 0.200 0.763 0.500
Ba4 0.300 0.737 0.000
Ba5 0.200 0.237 0.500
Ba6 0.700 0.000 0.737
Sb7 0.295 0.500 0.731
Sb8 0.205 0.000 0.769
Ba7 0.300 0.263 0.000
Ba8 0.700 0.000 0.263

Computed properties:
Size of the total moment: 0.00 Bohr magnetons per cell
Uncorrected formation energy: -887 meV per atom
D(E_F): 5.97 states/eV/f.u.
Space group: P4_2/nmc, No. 137



A plane-wave DFT calculation with PBE-GGA was carried out for crystalline SmEuZnCd at its relaxed geometry.

a b c (Å): 5.350 5.350 5.350
angles (deg): 60.00 60.00 60.00
Positions (direct):
Cd1 0.750 0.750 0.750
Sm1 0.500 0.500 0.500
Eu1 0.000 0.000 0.000
Zn1 0.250 0.250 0.250

Computed properties:
Size of the total moment: 7.05 Bohr magnetons per cell
D(E_F): 6.31 states/eV/f.u.
Space group: F-43m, No. 216
Energy of formation from the pure elements: -0.29 eV/atom



A plane-wave DFT calculation with PBE-GGA was carried out for crystalline FePt4Au at its relaxed geometry.

a b c (Å): 5.249 5.249 5.249
angles (deg): 60.00 60.00 60.00
Positions (direct):
Fe1 0.000 0.000 0.000
Pt1 0.875 0.375 0.375
Pt2 0.375 0.875 0.375
Au1 0.750 0.750 0.750
Pt3 0.375 0.375 0.375
Pt4 0.375 0.375 0.875

Computed properties:
Size of the total moment: 3.39 Bohr magnetons per cell
Distance to the lowest polymorph of the same formula: 0.285 eV/atom
D(E_F): 5.05 states/eV/f.u.
Space group: F-43m, No. 216
Energy of formation from the pure elements: 0.18 eV/atom